1.
DFT (PBE-GGA) results for a relaxed BaSm2Ag crystal.

```
BaSm2Ag
1.0
3.723 0.000 0.000
1.862 3.224 0.000
1.862 1.075 11.844
Sm Ba Ag
2 1 1
Cartesian
5.585 3.224 3.675 Sm
1.862 1.075 8.169 Sm
0.000 0.000 0.000 Ba
3.723 2.150 5.922 Ag
```

## Properties
Space group: R-3m (166)
E above lowest polymorph: 0.2101 eV/atom
Crystal system: trigonal

***

2.
DFT (PBE-GGA) results for a relaxed BaSm2Ag crystal.

```
BaSm2Ag
1.0
3.798 0.000 0.000
0.000 3.798 0.000
0.000 0.000 9.716
Ba Ag Sm
1 1 2
Cartesian
1.899 1.899 4.858 Ba
1.899 1.899 0.000 Ag
0.000 0.000 1.728 Sm
0.000 0.000 7.988 Sm
```

## Properties
Space group: P4/mmm (123)
E above lowest polymorph: 0.0000 eV/atom
Crystal system: tetragonal

***

3.
DFT (PBE-GGA) results for a relaxed Ba3SmAg4 crystal.

```
Ba3SmAg4
1.0
3.978 0.000 0.000
0.000 3.978 0.000
0.000 0.000 16.296
Sm Ag Ba
1 4 3
Cartesian
1.989 1.989 0.000 Sm
0.000 0.000 1.535 Ag
0.000 0.000 6.039 Ag
0.000 0.000 14.761 Ag
0.000 0.000 10.258 Ag
1.989 1.989 8.148 Ba
1.989 1.989 12.392 Ba
1.989 1.989 3.904 Ba
```

## Properties
Space group: P4/mmm (123)
Crystal system: tetragonal

***

4.
DFT (PBE-GGA) results for a relaxed Ba2SmAg crystal.

```
Ba2SmAg
1.0
3.968 0.000 0.000
1.984 3.436 0.000
1.984 1.145 12.346
Ba Sm Ag
2 1 1
Cartesian
5.952 3.436 3.712 Ba
1.984 1.145 8.634 Ba
0.000 0.000 0.000 Sm
3.968 2.291 6.173 Ag
```

## Properties
Space group: R-3m (166)
Crystal system: trigonal

***

5.
DFT (PBE-GGA) results for a relaxed BaSmAg10 crystal.

```
BaSmAg10
1.0
-1.049 -1.737 4.254
0.519 -5.307 -2.039
9.667 0.026 2.394
Ag Sm Ba
10 1 1
Cartesian
2.193 -4.871 1.163 Ag
1.927 -2.161 2.204 Ag
8.416 -2.632 1.000 Ag
7.210 -4.857 2.405 Ag
1.770 -2.650 -0.645 Ag
4.309 -0.856 3.324 Ag
3.080 0.008 0.763 Ag
6.944 -2.148 3.446 Ag
6.587 0.018 1.631 Ag
-0.265 -3.522 1.108 Ag
0.000 0.000 0.000 Sm
5.093 -2.641 0.177 Ba
```

## Properties
Space group: Pmmm (47)
Crystal system: orthorhombic

***

6.
DFT (PBE-GGA) results for a relaxed BaSmAg4 crystal.

```
BaSmAg4
1.0
-2.983 3.753 3.498
-0.935 -1.363 5.699
2.850 2.977 4.270
Ag Sm Ba
4 1 1
Cartesian
-0.202 4.026 5.576 Ag
-2.080 1.872 6.286 Ag
-0.666 3.349 8.404 Ag
0.813 1.487 6.668 Ag
-0.267 1.342 3.367 Sm
0.000 0.000 0.000 Ba
```

## Properties
Space group: F-43m (216)
Crystal system: cubic

***

no.,E (eV/cell),D(E_F) (states/eV/f.u.),total magnetic moment (μB/cell)
1,-13.34,5.86,0.00
2,-14.18,6.21,0.00
3,-23.69,7.45,0.00
4,-10.25,6.07,0.56
5,-36.65,6.86,0.00
6,-18.56,4.98,0.00